# CrFeOs2

Crystalline CrFeOs2 at its relaxed geometry (PBE, the Alexandria database).

Values from the calculation:
M_tot, Bohr magnetons per cell: 2.51
SG: Cmmm (65)
Total DFT energy (no corrections), eV per atom: -9.821
D(E_F), states/eV per cell: 5.641

a = 2.630 Å, b = 2.630 Å, c = 8.553 Å
α = 90.00°, β = 90.00°, γ = 114.12°
Positions (direct):
Cr  0.000  0.000  0.000
Fe  0.000  0.000  0.500
Os  0.500  0.500  0.245
Os  0.500  0.500  0.755